This record from the Alexandria database describes crystalline Ca2SeS6 at its relaxed geometry. The functional is GGA-PBE.

Values from the calculation:
M_tot ... 0.0 μB/cell
Formation energy from raw total energies ... -0.78 eV/atom
Space-group type ... No. 2

CIF file:
```
data_Ca2SeS6
_cell_length_a 5.9896
_cell_length_b 9.7043
_cell_length_c 15.3300
_cell_angle_alpha 103.72
_cell_angle_beta 140.78
_cell_angle_gamma 111.77
_space_group_name_H-M_alt 'P 1'
_space_group_IT_number 1
_space_group_name_Hall 'P 1'
loop_
_atom_site_label
_atom_site_type_symbol
_atom_site_fract_x
_atom_site_fract_y
_atom_site_fract_z
Ca1 Ca 0.8706 0.9195 0.2111
Ca2 Ca 0.1294 0.0805 0.7889
Se1 Se 0.0000 0.0000 0.0000
S1 S 0.8261 0.4602 0.2138
S2 S 0.1739 0.5398 0.7862
S3 S 0.8992 0.7900 0.8115
S4 S 0.5161 0.4546 0.8470
S5 S 0.4839 0.5454 0.1530
S6 S 0.1008 0.2100 0.1885
```

---

This record from the Alexandria database describes crystalline Ac2NiGe3Ir4 at its relaxed geometry. The functional is GGA-PBE.

Values from the calculation:
ΔH_f (0 K) ... -0.64 eV per atom
M_tot ... 0.1 μB/cell
Space-group type ... No. 115

CIF file:
```
data_Ac2NiGe3Ir4
_cell_length_a 4.2965
_cell_length_b 4.2965
_cell_length_c 10.5050
_cell_angle_alpha 90.00
_cell_angle_beta 90.00
_cell_angle_gamma 90.00
_space_group_name_H-M_alt 'P 1'
_space_group_IT_number 1
_space_group_name_Hall 'P 1'
loop_
_atom_site_label
_atom_site_type_symbol
_atom_site_fract_x
_atom_site_fract_y
_atom_site_fract_z
Ac1 Ac 0.5000 0.0000 0.2577
Ac2 Ac 0.0000 0.5000 0.7423
Ni1 Ni 0.5000 0.5000 0.5000
Ge1 Ge 0.0000 0.0000 0.5000
Ge2 Ge 0.5000 0.0000 0.8726
Ge3 Ge 0.0000 0.5000 0.1274
Ir1 Ir 0.5000 0.5000 0.0000
Ir2 Ir 0.0000 0.0000 0.0000
Ir3 Ir 0.5000 0.0000 0.6298
Ir4 Ir 0.0000 0.5000 0.3702
```

---

This record from the Alexandria database describes crystalline SiAgMo2 at its relaxed geometry. The functional is GGA-PBE.

Values from the calculation:
M_tot ... 0.0 μB/cell
Formation energy from raw total energies ... 0.33 eV/atom
Space-group type ... No. 123

CIF file:
```
data_SiAgMo2
_cell_length_a 4.1892
_cell_length_b 3.8450
_cell_length_c 3.8450
_cell_angle_alpha 90.00
_cell_angle_beta 90.00
_cell_angle_gamma 90.00
_space_group_name_H-M_alt 'P 1'
_space_group_IT_number 1
_space_group_name_Hall 'P 1'
loop_
_atom_site_label
_atom_site_type_symbol
_atom_site_fract_x
_atom_site_fract_y
_atom_site_fract_z
Ag1 Ag 0.5000 0.0000 0.5000
Mo1 Mo 0.0000 0.0000 0.0000
Mo2 Mo 0.0000 0.5000 0.5000
Si1 Si 0.5000 0.5000 0.0000
```

---

- Look up the M_tot of the second one.
  0.1 μB/cell